1.
Below is a relaxed structure of Pd3N, with properties calculated at the PBE level.

The value obtained for the formation energy without anion corrections is 0.3295 eV/atom. The value obtained for the final energy is -45.2 eV for the cell shown.

a = 5.1308 Å, b = 5.1308 Å, c = 4.8063 Å
α = 90.00°, β = 90.00°, γ = 120.00°
Positions (direct):
Pd1 0.0000 0.3317 0.0000
Pd2 0.0000 0.6683 0.5000
Pd3 0.3317 0.0000 0.0000
Pd4 0.3317 0.3317 0.5000
Pd5 0.6683 0.0000 0.5000
Pd6 0.6683 0.6683 0.0000
N1 0.3333 0.6667 0.2500
N2 0.6667 0.3333 0.7500

2.
Below is a relaxed structure of Pu2SiP3, with properties calculated at the PBE level.

The value obtained for the formation energy without anion corrections is -0.6600 eV/atom. The value obtained for the final energy is -217.1 eV for the cell shown.

a = 6.9496 Å, b = 6.9496 Å, c = 13.3786 Å
α = 91.98°, β = 91.98°, γ = 130.78°
Positions (direct):
Pu1 0.0117 0.4358 0.3418
Pu2 0.1456 0.3374 0.9333
Pu3 0.3374 0.1456 0.4333
Pu4 0.4358 0.0117 0.8418
Pu5 0.5642 0.9883 0.1582
Pu6 0.6626 0.8544 0.5667
Pu7 0.8544 0.6626 0.0667
Pu8 0.9883 0.5642 0.6582
Si1 0.2781 0.2985 0.1466
Si2 0.2985 0.2781 0.6466
Si3 0.7015 0.7219 0.3534
Si4 0.7219 0.7015 0.8534
P1 0.0308 0.9692 0.7500
P2 0.0942 0.4789 0.1311
P3 0.1355 0.3549 0.5230
P4 0.3549 0.1355 0.0230
P5 0.4004 0.5996 0.7500
P6 0.4789 0.0942 0.6311
P7 0.5211 0.9058 0.3689
P8 0.5996 0.4004 0.2500
P9 0.6451 0.8645 0.9770
P10 0.8645 0.6451 0.4770
P11 0.9058 0.5211 0.8689
P12 0.9692 0.0308 0.2500

3.
Below is a relaxed structure of Cu7Pd4Au, with properties calculated at the PBE level.

Its formation energy from the elements is -0.082 eV/atom. The value obtained for the final energy is -53.7 eV for the cell shown. As for the energy relative to the lowest polymorph listed for this composition: 0.000 eV/atom.

a = 4.2531 Å, b = 4.2531 Å, c = 10.4984 Å
α = 90.00°, β = 90.00°, γ = 120.00°
Positions (direct):
Cu1 0.0000 0.0000 0.0000
Cu2 0.0000 0.0000 0.2374
Cu3 0.0000 0.0000 0.7626
Cu4 0.3333 0.6667 0.1749
Cu5 0.3333 0.6667 0.4115
Cu6 0.6667 0.3333 0.5885
Cu7 0.6667 0.3333 0.8251
Pd1 0.3333 0.6667 0.6653
Pd2 0.3333 0.6667 0.9230
Pd3 0.6667 0.3333 0.0770
Pd4 0.6667 0.3333 0.3347
Au1 0.0000 0.0000 0.5000

4.
Below is a relaxed structure of LaSbPtBr, with properties calculated at the PBE level.

The value obtained for the formation energy without anion corrections is -1.2752 eV/atom. The value obtained for the final energy is -43.7 eV for the cell shown.

a = 13.8556 Å, b = 13.8556 Å, c = 13.8556 Å
α = 18.90°, β = 18.90°, γ = 18.90°
Positions (direct):
La1 0.0828 0.0828 0.0828
La2 0.9172 0.9172 0.9172
Sb1 0.3045 0.3045 0.3045
Sb2 0.6955 0.6955 0.6955
Pt1 0.3737 0.3737 0.3737
Pt2 0.6263 0.6263 0.6263
Br1 0.2076 0.2076 0.2076
Br2 0.7924 0.7924 0.7924

Look up the final energy of the second one.
-217.1 eV for the cell shown

Which of these has the lowest final energy?
Pu2SiP3

Which value of final energy does entry 4 give?
-43.7 eV for the cell shown